First-principles (PBE with a Hubbard U) data for a geometry-optimized KMnF3 structure, as listed in Alexandria.

Its total energy is -21.41 eV/f.u.

a = 4.6173 Å, b = 4.6173 Å, c = 4.6173 Å
α = 90.00°, β = 90.00°, γ = 90.00°
Space group Pm-3m (No. 221)
One atom of each set of equivalent atoms:
1 K 0.0000 0.0000 0.0000
2 Mn 0.5000 0.5000 0.5000
3 F 0.0000 0.0000 0.5000